Ac2PrThAs4 | PBE-GGA | optimized geometry

Geometry as POSCAR:
```
Ac2PrThAs4
1.0
4.3999 0.0000 0.0000
0.0000 7.6597 -0.1707
0.0000 2.6772 7.1261
Ac Pr Th As
2 1 1 4
Direct
0.0000 0.0000 0.0000
0.5000 0.0000 0.5000
0.5000 0.5000 0.0000
0.0000 0.5000 0.5000
0.0000 0.7348 0.7507
0.0000 0.2652 0.2493
0.5000 0.7325 0.2594
0.5000 0.2675 0.7406
```

Summary:
**Symmetry**: No. 10
**ρ**: 7.725 g cm⁻³
**Formation energy**: -1.4777 eV per atom
**Total magnetization**: 0.000 μB/f.u.



La2Si2Bi | PBE-GGA | optimized geometry

Geometry as POSCAR:
```
La2Si2Bi
1.0
-3.0354 -0.1225 5.0833
2.8841 -4.9172 1.6036
2.8462 -0.2190 5.1437
Si Bi La
2 1 2
Direct
0.3569 0.3569 0.2863
0.6431 0.6431 0.7137
0.0000 0.0000 0.0000
0.7500 0.2500 0.5000
0.2500 0.7500 0.5000
```

Summary:
**Symmetry**: No. 139
**ρ**: 6.222 g cm⁻³
**Total magnetization**: 0.000 μB/f.u.
**E above lowest polymorph**: 377 meV/atom
**E_form (uncorrected)**: -0.32 eV/atom



PmGa12Pt6 | PBE-GGA | optimized geometry

Geometry as POSCAR:
```
PmGa12Pt6
1.0
-3.9029 -3.2308 -5.1490
5.4524 -4.5672 1.2628
-4.1181 -0.4272 5.9196
Pm Ga Pt
1 12 6
Direct
0.0000 0.0000 0.0000
0.8895 0.1105 0.5000
0.8562 0.6046 0.6046
0.6046 0.6046 0.8562
0.3954 0.1438 0.3954
0.3954 0.3954 0.1438
0.1438 0.3954 0.3954
0.1105 0.5000 0.8895
0.5000 0.8895 0.1105
0.1105 0.8895 0.5000
0.8895 0.5000 0.1105
0.5000 0.1105 0.8895
0.6046 0.8562 0.6046
0.7167 0.2843 0.2843
0.2843 0.2843 0.7167
0.2843 0.7167 0.2843
0.7157 0.7157 0.2833
0.2833 0.7157 0.7157
0.7157 0.2833 0.7157
```

Summary:
**Symmetry**: No. 166
**ρ**: 10.722 g cm⁻³
**Formation energy**: -0.5718 eV per atom
**Total magnetization**: 0.000 μB/f.u.



SmTmBeNi | PBE-GGA | optimized geometry

Geometry as POSCAR:
```
SmTmBeNi
1.0
4.8205 0.0000 0.0000
2.4102 4.1747 0.0000
2.4102 1.3916 3.9359
Ni Tm Sm Be
1 1 1 1
Direct
0.0000 0.0000 0.0000
0.7500 0.7500 0.7500
0.2500 0.2500 0.2500
0.5000 0.5000 0.5000
```

Summary:
**Symmetry**: No. 216
**ρ**: 8.113 g cm⁻³
**Formation energy**: -0.1077 eV per atom
**Total magnetization**: 0.000 μB/f.u.



MgHgPb | PBE-GGA | optimized geometry

Geometry as POSCAR:
```
MgHgPb
1.0
5.9647 0.0059 0.0867
2.7580 5.2884 0.0939
-3.3046 -2.0124 4.8605
Pb Mg Hg
2 2 2
Direct
0.3495 0.2713 0.3616
0.1077 0.0297 0.6201
0.2293 0.6514 0.0025
0.7278 0.1499 0.9804
0.7193 0.6592 0.9907
0.7401 0.6397 0.4914
```

Summary:
**Symmetry**: No. 5
**ρ**: 9.234 g cm⁻³
**Formation energy**: -0.0468 eV per atom
**Total magnetization**: 0.000 μB/f.u.



Pm12Pr2Tm | PBE-GGA | optimized geometry

Geometry as POSCAR:
```
Pm12Pr2Tm
1.0
-6.2562 -0.5750 1.9441
1.7866 -4.5445 4.4052
3.7010 18.2253 17.3007
Pm Pr Tm
24 4 2
Direct
0.5000 0.5000 0.7863
0.0000 0.0000 0.7863
0.8137 0.6863 0.8876
0.3137 0.8137 0.8876
0.0000 0.0000 0.3377
0.1863 0.6863 0.1124
0.8326 0.3326 0.5618
0.5000 0.5000 0.3377
0.1863 0.3137 0.8876
0.6863 0.8137 0.1124
0.3326 0.1674 0.5618
0.6674 0.1674 0.4382
0.0000 0.0000 0.6623
0.1674 0.3326 0.4382
0.3137 0.1863 0.1124
0.8326 0.6674 0.4382
0.6674 0.8326 0.5618
0.0000 0.0000 0.2137
0.1674 0.6674 0.5618
0.5000 0.5000 0.6623
0.6863 0.1863 0.8876
0.5000 0.5000 0.2137
0.3326 0.8326 0.4382
0.8137 0.3137 0.1124
0.5000 0.0000 0.2663
0.0000 0.5000 0.2663
0.0000 0.5000 0.7337
0.5000 0.0000 0.7337
0.5000 0.0000 0.0000
0.0000 0.5000 0.0000
```

Summary:
**Symmetry**: No. 125
**ρ**: 6.623 g cm⁻³
**Formation energy**: 0.3120 eV per atom
**Total magnetization**: 0.000 μB/f.u.